Record 1
Material: Nd2YThBi5
Method: DFT, PBE
State: relaxed

Values from the calculation:
Density of states at the Fermi level, states/eV/atom: 0.820
Formation enthalpy at 0 K, eV/atom: 0.044
Volume, Å³/atom: 43.78

Unit cell a=5.7496 b=5.7496 c=11.9181 alpha=90.00 beta=90.00 gamma=90.00
With the nearest neighbours (Å) after each atom.
Atoms (fractional coordinates):
Bi 0.0000 0.0000 0.2423  1 Y 2.89, 1 Th 3.07
Th 0.0000 0.0000 0.5000  6 Bi 2.87-3.07
Bi 0.0000 0.0000 0.7577  1 Y 2.89, 1 Th 3.07
Nd 0.5000 0.5000 0.2787  1 Bi 3.32
Bi 0.0000 0.5000 0.5000  2 Th 2.87
Nd 0.5000 0.5000 0.7213  1 Bi 3.32
Bi 0.5000 0.5000 0.0000  2 Nd 3.32
Bi 0.5000 0.0000 0.5000  2 Th 2.87
Y 0.0000 0.0000 0.0000  2 Bi 2.89

=====

Record 2
Material: Re4SeCl
Method: DFT, PBE
State: relaxed

Values from the calculation:
Density of states at the Fermi level, states/eV/atom: 1.302
Volume, Å³/atom: 17.55
E_form (uncorrected), eV per atom: 1.396

Unit cell a=5.3001 b=5.3001 c=5.3001 alpha=60.00 beta=60.00 gamma=60.00
With the nearest neighbours (Å) after each atom.
Atoms (fractional coordinates):
Re 0.6246 0.1263 0.6246  6 Re 2.64-2.66
Se 0.2500 0.2500 0.2500  12 Re 3.11, 4 Cl 3.25
Re 0.6246 0.6246 0.6246  6 Re 2.64-2.66
Re 0.1263 0.6246 0.6246  6 Re 2.64-2.66
Cl 0.0000 0.0000 0.0000  12 Re 3.11, 4 Se 3.25
Re 0.6246 0.6246 0.1263  6 Re 2.64-2.66

=====

Record 3
Material: Tb2YPaN4
Method: DFT, PBE
State: relaxed

Values from the calculation:
Density of states at the Fermi level, states/eV/atom: 0.454
Volume, Å³/atom: 15.05
E_form (uncorrected), eV per atom: -1.690

Unit cell a=3.5076 b=6.0263 c=6.0329 alpha=109.21 beta=90.00 gamma=90.00
With the nearest neighbours (Å) after each atom.
Atoms (fractional coordinates):
Tb 0.5000 0.0000 0.5000  6 N 2.46-2.48
Tb 0.0000 0.5000 0.5000  6 N 2.53-2.56
N 0.0000 0.7598 0.2387  1 Pa 2.35, 2 Y 2.47, 3 Tb 2.48-2.56
Pa 0.0000 0.0000 0.0000  6 N 2.35-2.42
Y 0.5000 0.5000 0.0000  6 N 2.45-2.47
N 0.5000 0.2397 0.2387  2 Pa 2.42, 1 Y 2.45, 3 Tb 2.46-2.53
N 0.5000 0.7603 0.7613  2 Pa 2.42, 1 Y 2.45, 3 Tb 2.46-2.53
N 0.0000 0.2402 0.7613  1 Pa 2.35, 2 Y 2.47, 3 Tb 2.48-2.56

=====

Record 4
Material: ZnCd12Au6
Method: DFT, PBE
State: relaxed

Values from the calculation:
Density of states at the Fermi level, states/eV/atom: 0.185
Formation enthalpy at 0 K, eV/atom: -0.133
Volume, Å³/atom: 20.19

Unit cell a=7.2695 b=7.2695 c=7.2695 alpha=88.10 beta=88.10 gamma=88.10
With the nearest neighbours (Å) after each atom.
Atoms (fractional coordinates):
Cd 0.5722 0.1946 0.4751  4 Au 2.90-3.02, 5 Cd 2.99-3.20
Cd 0.6242 0.9541 0.8483  5 Cd 2.88-3.20, 5 Au 2.90-3.22, 1 Zn 3.01
Cd 0.8483 0.6242 0.9541  5 Cd 2.88-3.20, 5 Au 2.90-3.22, 1 Zn 3.01
Au 0.8837 0.2574 0.7286  1 Zn 2.81, 7 Cd 2.90-3.12, 2 Au 2.97
Cd 0.1946 0.4751 0.5722  4 Au 2.90-3.02, 5 Cd 2.99-3.20
Au 0.2714 0.1163 0.7426  1 Zn 2.81, 7 Cd 2.90-3.12, 2 Au 2.97
Cd 0.0459 0.1517 0.3758  5 Cd 2.88-3.20, 5 Au 2.90-3.22, 1 Zn 3.01
Au 0.7286 0.8837 0.2574  1 Zn 2.81, 7 Cd 2.90-3.12, 2 Au 2.97
Cd 0.1517 0.3758 0.0459  5 Cd 2.88-3.20, 5 Au 2.90-3.22, 1 Zn 3.01
Cd 0.4751 0.5722 0.1946  4 Au 2.90-3.02, 5 Cd 2.99-3.20
Au 0.7426 0.2714 0.1163  1 Zn 2.81, 7 Cd 2.90-3.12, 2 Au 2.97
Cd 0.4278 0.8054 0.5249  4 Au 2.90-3.02, 5 Cd 2.99-3.20
Cd 0.3758 0.0459 0.1517  5 Cd 2.88-3.20, 5 Au 2.90-3.22, 1 Zn 3.01
Au 0.2574 0.7286 0.8837  1 Zn 2.81, 7 Cd 2.90-3.12, 2 Au 2.97
Au 0.1163 0.7426 0.2714  1 Zn 2.81, 7 Cd 2.90-3.12, 2 Au 2.97
Cd 0.9541 0.8483 0.6242  5 Cd 2.88-3.20, 5 Au 2.90-3.22, 1 Zn 3.01
Cd 0.8054 0.5249 0.4278  4 Au 2.90-3.02, 5 Cd 2.99-3.20
Cd 0.5249 0.4278 0.8054  4 Au 2.90-3.02, 5 Cd 2.99-3.20
Zn 0.0000 0.0000 0.0000  6 Au 2.81, 6 Cd 3.01

=====

Record 5
Material: LaRe2Tc2
Method: DFT, PBE
State: relaxed

Values from the calculation:
Density of states at the Fermi level, states/eV/atom: 1.057
Formation enthalpy at 0 K, eV/atom: 0.051
Volume, Å³/atom: 19.82

Unit cell a=4.3703 b=4.3703 c=6.0397 alpha=68.79 beta=68.79 gamma=90.00
With the nearest neighbours (Å) after each atom.
Atoms (fractional coordinates):
Re 0.6251 0.6251 0.7497  4 Tc 2.54, 1 Re 2.60
La 0.0000 0.0000 0.0000  8 Re 3.35, 8 Tc 3.39
Tc 0.2500 0.7500 0.5000  4 Re 2.54
Re 0.3749 0.3749 0.2503  4 Tc 2.54, 1 Re 2.60
Tc 0.7500 0.2500 0.5000  4 Re 2.54

=====

Record 6
Material: LaInSiPt2
Method: DFT, PBE
State: relaxed

Values from the calculation:
Density of states at the Fermi level, states/eV/atom: 1.275
Volume, Å³/atom: 51.83
E_form (uncorrected), eV per atom: 1.300

Unit cell a=5.3485 b=5.3485 c=9.0586 alpha=90.00 beta=90.00 gamma=90.00
With the nearest neighbours (Å) after each atom.
Atoms (fractional coordinates):
In 0.0000 0.0000 0.5000  4 Si 3.78
La 0.0000 0.0000 0.0000  4 Pt 2.67
Si 0.5000 0.5000 0.5000  4 In 3.78
Pt 0.5000 0.0000 0.0000  2 La 2.67
Pt 0.0000 0.5000 0.0000  2 La 2.67

=====

Which of these has the lowest volume?
Tb2YPaN4

=====

Copy entry 6 word for word.
Material: LaInSiPt2
Method: DFT, PBE
State: relaxed

Values from the calculation:
Density of states at the Fermi level, states/eV/atom: 1.275
Volume, Å³/atom: 51.83
E_form (uncorrected), eV per atom: 1.300

Unit cell a=5.3485 b=5.3485 c=9.0586 alpha=90.00 beta=90.00 gamma=90.00
With the nearest neighbours (Å) after each atom.
Atoms (fractional coordinates):
In 0.0000 0.0000 0.5000  4 Si 3.78
La 0.0000 0.0000 0.0000  4 Pt 2.67
Si 0.5000 0.5000 0.5000  4 In 3.78
Pt 0.5000 0.0000 0.0000  2 La 2.67
Pt 0.0000 0.5000 0.0000  2 La 2.67

=====

Which of these has the lowest volume?
Tb2YPaN4